Entry from the Alexandria database: a geometry-optimized CrPbS2O8 structure (PBE+U).

a b c (Å): 5.0638 5.0638 7.5907
angles (deg): 91.47 91.47 62.69
Fractional coordinates of all 12 atoms:
Cr1 0.0000 0.0000 0.0000
Pb1 0.0000 0.0000 0.5000
S1 0.3666 0.3666 0.7739
S2 0.6334 0.6334 0.2261
O1 0.2372 0.7022 0.7912
O2 0.2530 0.2530 0.9107
O3 0.2978 0.7628 0.2088
O4 0.3006 0.3006 0.5904
O5 0.6994 0.6994 0.4096
O6 0.7022 0.2372 0.7912
O7 0.7470 0.7470 0.0893
O8 0.7628 0.2978 0.2088

The density of states at the Fermi level is 0.000 states/eV/atom. The calculation puts the uncorrected energy at -6.404 eV per atom.